1.
VASP calculation (PBE) on Tb3In3CuAg2 after structural relaxation.

Cell: 7.807 7.807 3.904 Å, 90.00 90.00 120.00°
Fractional coordinates of all 9 atoms:
Ag: 0.667 0.333 0.500
Ag: 0.333 0.667 0.500
Cu: 0.000 0.000 0.000
In: 0.250 0.000 0.500
In: 0.000 0.250 0.500
In: 0.750 0.750 0.500
Tb: 0.598 0.000 0.000
Tb: 0.402 0.402 0.000
Tb: 0.000 0.598 0.000

DFT total energy, eV per atom: -3.934

=====

2.
VASP calculation (PBE) on Tb3In3Cu2Ag after structural relaxation.

Cell: 7.605 7.605 3.988 Å, 90.00 90.00 120.00°
Fractional coordinates of all 9 atoms:
Ag: 0.000 0.000 0.000
Cu: 0.667 0.333 0.500
Cu: 0.333 0.667 0.500
In: 0.267 0.000 0.500
In: 0.000 0.267 0.500
In: 0.733 0.733 0.500
Tb: 0.587 0.000 0.000
Tb: 0.413 0.413 0.000
Tb: 0.000 0.587 0.000

DFT total energy, eV per atom: -4.004

=====

3.
VASP calculation (PBE) on TbTm2In3CuAg2 after structural relaxation.

Cell: 3.853 7.787 7.787 Å, 120.23 90.00 90.00°
Fractional coordinates of all 9 atoms:
Ag: 0.500 0.669 0.332
Ag: 0.500 0.332 0.669
Cu: 0.000 0.999 0.999
In: 0.500 0.999 0.252
In: 0.500 0.748 0.748
In: 0.500 0.252 0.999
Tb: 0.000 0.402 0.402
Tm: 0.000 0.599 0.000
Tm: 0.000 0.000 0.599

DFT total energy, eV per atom: -3.887

=====

4.
VASP calculation (PBE) on Tm3In3CuAg2 after structural relaxation.

Cell: 7.748 7.748 3.842 Å, 90.00 90.00 120.00°
Fractional coordinates of all 9 atoms:
Ag: 0.667 0.333 0.500
Ag: 0.333 0.667 0.500
Cu: 0.000 0.000 0.000
In: 0.747 0.000 0.500
In: 0.253 0.253 0.500
In: 0.000 0.747 0.500
Tm: 0.402 0.000 0.000
Tm: 0.000 0.402 0.000
Tm: 0.598 0.598 0.000

DFT total energy, eV per atom: -3.864

=====

5.
VASP calculation (PBE) on Tm3In3Cu2Ag after structural relaxation.

Cell: 7.570 7.570 3.875 Å, 90.00 90.00 120.00°
Fractional coordinates of all 9 atoms:
Ag: 0.000 0.000 0.000
Cu: 0.667 0.333 0.500
Cu: 0.333 0.667 0.500
In: 0.729 0.000 0.500
In: 0.271 0.271 0.500
In: 0.000 0.729 0.500
Tm: 0.409 0.000 0.000
Tm: 0.000 0.409 0.000
Tm: 0.591 0.591 0.000

DFT total energy, eV per atom: -3.935

=====

6.
VASP calculation (PBE) on InCuAgW after structural relaxation.

Cell: 4.573 4.573 4.573 Å, 60.00 60.00 60.00°
Fractional coordinates of all 4 atoms:
Ag: 0.250 0.250 0.250
Cu: 0.750 0.750 0.750
In: 0.000 0.000 0.000
W: 0.500 0.500 0.500

DFT total energy, eV per atom: -4.833

=====

7.
VASP calculation (PBE) on CuAg2Ir3 after structural relaxation.

Cell: 2.746 2.746 13.901 Å, 90.00 90.00 120.00°
Each line ends with the local moment (μB).
Fractional coordinates of all 6 atoms:
Ag: 0.667 0.333 0.326  0.00
Ag: 0.333 0.667 0.674  0.00
Cu: 0.000 0.000 0.000  0.01
Ir: 0.333 0.667 0.151  0.05
Ir: 0.000 0.000 0.500  0.07
Ir: 0.667 0.333 0.849  0.05

ΔE_f, eV/f.u.: 1.65
DFT total energy, eV per atom: -5.714

=====

8.
VASP calculation (PBE) on Cu2AgIr3 after structural relaxation.

Cell: 2.722 2.722 13.367 Å, 90.00 90.00 120.00°
Each line ends with the local moment (μB).
Fractional coordinates of all 6 atoms:
Ag: 0.000 0.000 0.500  0.01
Cu: 0.333 0.667 0.159  0.02
Cu: 0.667 0.333 0.841  0.02
Ir: 0.000 0.000 0.000  0.07
Ir: 0.667 0.333 0.318  0.12
Ir: 0.333 0.667 0.682  0.12

ΔE_f, eV/f.u.: 1.12
DFT total energy, eV per atom: -5.951

=====

9.
VASP calculation (PBE) on Lu4CuAgIr2 after structural relaxation.

Cell: 4.810 4.810 6.817 Å, 90.00 90.00 90.00°
Fractional coordinates of all 8 atoms:
Ag: 0.000 0.000 0.000
Cu: 0.500 0.500 0.500
Ir: 0.500 0.500 0.000
Ir: 0.000 0.000 0.500
Lu: 0.500 0.000 0.256
Lu: 0.000 0.500 0.256
Lu: 0.500 0.000 0.744
Lu: 0.000 0.500 0.744

ΔE_f, eV/f.u.: -5.52
DFT total energy, eV per atom: -5.983

=====

10.
VASP calculation (PBE) on Y3Mg3CuAgIr after structural relaxation.

Cell: 7.584 7.584 3.970 Å, 90.00 90.00 120.00°
Fractional coordinates of all 9 atoms:
Ag: 0.667 0.333 0.000
Cu: 0.000 0.000 0.500
Ir: 0.333 0.667 0.000
Mg: 0.001 0.244 0.000
Mg: 0.756 0.756 0.000
Mg: 0.244 0.999 0.000
Y: 0.398 0.425 0.500
Y: 0.027 0.602 0.500
Y: 0.575 0.973 0.500

DFT total energy, eV per atom: -4.810

=====

11.
VASP calculation (PBE) on CuAgSbIr after structural relaxation.

Cell: 4.554 4.554 4.554 Å, 60.00 60.00 60.00°
Fractional coordinates of all 4 atoms:
Ag: 0.500 0.500 0.500
Cu: 0.750 0.750 0.750
Ir: 0.250 0.250 0.250
Sb: 0.000 0.000 0.000

DFT total energy, eV per atom: -4.679

=====

12.
VASP calculation (PBE) on CuSiAgIr after structural relaxation.

Cell: 4.321 4.321 4.321 Å, 60.00 60.00 60.00°
Fractional coordinates of all 4 atoms:
Ag: 0.500 0.500 0.500
Cu: 0.750 0.750 0.750
Ir: 0.250 0.250 0.250
Si: 0.000 0.000 0.000

DFT total energy, eV per atom: -5.100